# ScInAgSb2

Crystalline ScInAgSb2 at its relaxed geometry (PBE, the Alexandria database).

The space group is P4/mmm (No. 123) and the conventional cell measures 5.452, 5.452 and 5.484 Å, with angles of 90.00, 90.00 and 90.00 degrees. The distinct sites, in fractional coordinates, are Sc at (0.000, 0.000, 0.000), In at (0.500, 0.500, 0.500), Ag at (0.000, 0.000, 0.500) and Sb at (0.000, 0.500, 0.000).

The uncorrected formation energy is 0.244 eV/atom.